## UFe4Pd (PBE)

Data for a relaxed structure of UFe4Pd.

Summary:
energy: -50.45 eV/f.u.
total magnetic moment: 1.2769 μB/atom
DFT formation energy: -0.020 eV per atom

Cell lengths 7.0093, 7.0093, 7.0093 Å; angles 90.00, 90.00, 90.00 degrees
Space group F-43m (No. 216)
Symmetry-distinct sites (fractional):
U 0.0000 0.0000 0.0000 [4 per cell]
Fe 0.1240 0.1240 0.6240 [16 per cell]
Pd 0.2500 0.2500 0.2500 [4 per cell]

---

## BaScW2 (PBE)

Data for a relaxed structure of BaScW2.

Summary:
energy: -29.16 eV/f.u.
total magnetic moment: 0.0003 μB/atom
DFT formation energy: 1.251 eV per atom
energy relative to the lowest polymorph listed for this composition: 741.1 meV per atom

Cell lengths 4.7661, 3.2531, 5.4060 Å; angles 90.00, 90.41, 90.00 degrees
Space group P2/m (No. 10)
Symmetry-distinct sites (fractional):
Ba 0.0000 0.0000 0.0000 [1 per cell]
Sc 0.5000 0.5000 0.0000 [1 per cell]
W 0.0000 0.5000 0.5000 [1 per cell]
W 0.5000 0.0000 0.5000 [1 per cell]

---

## KLi2Pu2O7 (PBE)

Data for a relaxed structure of KLi2Pu2O7.

Summary:
energy: -97.69 eV/f.u.
total magnetic moment: 0.4167 μB/atom
ΔE_f (raw): -2.45 eV/atom

Cell lengths 4.2478, 4.2478, 18.0577 Å; angles 90.00, 90.00, 90.00 degrees
Space group I4/mmm (No. 139)
Symmetry-distinct sites (fractional):
K 0.0000 0.0000 0.0000 [2 per cell]
Li 0.0000 0.5000 0.2500 [4 per cell]
Pu 0.0000 0.0000 0.3824 [4 per cell]
O 0.0000 0.0000 0.2727 [4 per cell]
O 0.0000 0.0000 0.5000 [2 per cell]
O 0.0000 0.5000 0.1178 [8 per cell]

---

## SmEr2Ag2 (PBE)

Data for a relaxed structure of SmEr2Ag2.

Summary:
energy: -20.71 eV/f.u.
total magnetic moment: 0.0000 μB/atom
DFT formation energy: -0.233 eV per atom
energy relative to the lowest polymorph listed for this composition: 0.0 meV per atom

Cell lengths 3.6272, 5.2871, 13.5251 Å; angles 90.00, 97.68, 90.00 degrees
Space group P2_1/m (No. 11)
Symmetry-distinct sites (fractional):
Sm 0.1459 0.2500 0.2908 [2 per cell]
Er 0.0474 0.7500 0.0951 [2 per cell]
Er 0.2351 0.7500 0.4694 [2 per cell]
Ag 0.3570 0.2500 0.7152 [2 per cell]
Ag 0.4555 0.7500 0.9109 [2 per cell]

---

## Tl4I3Cl2 (PBE)

Data for a relaxed structure of Tl4I3Cl2.

Summary:
energy: -23.84 eV/f.u.
total magnetic moment: 0.0000 μB/atom
ΔE_f (raw): -0.67 eV/atom

Cell lengths 15.8493, 12.8163, 7.1521 Å; angles 90.00, 93.38, 90.00 degrees
Space group C2/c (No. 15)
Symmetry-distinct sites (fractional):
Tl 0.1094 0.1667 0.0252 [8 per cell]
Tl 0.1723 0.3934 0.5013 [8 per cell]
I 0.0000 0.3901 0.2500 [4 per cell]
I 0.1234 0.1231 0.5328 [8 per cell]
Cl 0.1974 0.3794 0.9115 [8 per cell]

---

## MgZr2TlC (PBE)

Data for a relaxed structure of MgZr2TlC.

Summary:
energy: -31.58 eV/f.u.
total magnetic moment: 0.0000 μB/atom
DFT formation energy: -0.260 eV per atom

Cell lengths 4.6062, 4.6062, 4.4216 Å; angles 90.00, 90.00, 90.00 degrees
Space group P4/mmm (No. 123)
Symmetry-distinct sites (fractional):
Mg 0.0000 0.0000 0.0000 [1 per cell]
Zr 0.0000 0.5000 0.5000 [2 per cell]
Tl 0.5000 0.5000 0.0000 [1 per cell]
C 0.0000 0.0000 0.5000 [1 per cell]

---

## GdLuMnIn (PBE)

Data for a relaxed structure of GdLuMnIn.

Summary:
energy: -30.92 eV/f.u.
total magnetic moment: 0.9139 μB/atom
DFT formation energy: -0.102 eV per atom

Cell lengths 7.3226, 7.3226, 7.3226 Å; angles 90.00, 90.00, 90.00 degrees
Space group F-43m (No. 216)
Symmetry-distinct sites (fractional):
Gd 0.0000 0.0000 0.0000 [4 per cell]
Lu 0.0000 0.0000 0.5000 [4 per cell]
Mn 0.2500 0.2500 0.7500 [4 per cell]
In 0.2500 0.2500 0.2500 [4 per cell]

---

## Tb3Pm6Nd2In (PBE)

Data for a relaxed structure of Tb3Pm6Nd2In.

Summary:
energy: -55.30 eV/f.u.
total magnetic moment: 0.0000 μB/atom
DFT formation energy: -0.053 eV per atom

Cell lengths 6.2052, 10.7701, 11.9063 Å; angles 90.00, 100.09, 90.00 degrees
Space group C2/m (No. 12)
Symmetry-distinct sites (fractional):
Tb 0.0000 0.0000 0.0000 [2 per cell]
Tb 0.0000 0.3325 0.0000 [4 per cell]
Pm 0.2421 0.5000 0.2490 [4 per cell]
Pm 0.2458 0.3372 0.7499 [8 per cell]
Nd 0.0000 0.1662 0.5000 [4 per cell]
In 0.0000 0.5000 0.5000 [2 per cell]

---

no.,D(E_F) (states/eV per atom)
1,1.59
2,1.51
3,0.71
4,0.84
5,0.58
6,0.47
7,1.22
8,1.20